Entry from Alexandria: an optimized crystal structure of Ba12Se3N5 (PBE-GGA).

```
Ba12Se3N5
1.0
15.255 0.000 0.000
-5.085 14.383 0.000
-5.085 -7.191 12.456
Se N Ba
12 20 48
direct
0.750 0.375 0.125
0.875 0.750 0.125
0.375 0.750 0.625
0.250 0.125 0.375
0.875 0.125 0.250
0.375 0.625 0.250
0.625 0.375 0.750
0.125 0.875 0.750
0.750 0.875 0.625
0.625 0.250 0.375
0.125 0.250 0.875
0.250 0.625 0.875
0.125 0.375 0.250
0.000 0.500 0.000
0.000 0.000 0.000
0.375 0.250 0.125
0.500 0.000 0.500
0.500 0.500 0.000
0.125 0.750 0.375
0.750 0.125 0.875
0.750 0.625 0.375
0.375 0.125 0.750
0.625 0.875 0.250
0.500 0.500 0.500
0.500 0.000 0.000
0.000 0.000 0.500
0.250 0.375 0.625
0.250 0.875 0.125
0.000 0.500 0.500
0.875 0.250 0.625
0.625 0.750 0.875
0.875 0.625 0.750
0.704 0.120 0.023
0.319 0.523 0.402
0.977 0.380 0.296
0.523 0.204 0.120
0.583 0.704 0.681
0.977 0.598 0.181
0.319 0.796 0.417
0.098 0.917 0.120
0.598 0.977 0.681
0.704 0.583 0.181
0.796 0.477 0.380
0.819 0.902 0.023
0.120 0.704 0.523
0.380 0.402 0.083
0.083 0.902 0.380
0.417 0.120 0.598
0.083 0.181 0.204
0.477 0.681 0.098
0.819 0.917 0.296
0.120 0.417 0.098
0.380 0.977 0.796
0.598 0.620 0.417
0.902 0.819 0.523
0.796 0.319 0.917
0.402 0.380 0.583
0.098 0.181 0.477
0.204 0.681 0.083
0.181 0.083 0.704
0.620 0.023 0.204
0.880 0.583 0.902
0.523 0.319 0.902
0.583 0.880 0.402
0.917 0.819 0.796
0.917 0.098 0.620
0.880 0.296 0.477
0.181 0.098 0.977
0.620 0.598 0.917
0.402 0.023 0.319
0.296 0.417 0.819
0.204 0.523 0.620
0.902 0.083 0.880
0.681 0.204 0.583
0.477 0.796 0.880
0.023 0.402 0.819
0.417 0.296 0.319
0.023 0.620 0.704
0.681 0.477 0.598
0.296 0.880 0.977
```


Entry from Alexandria: an optimized crystal structure of Ba4Se2N (PBE-GGA).

```
Ba4Se2N
1.0
5.464 0.000 0.000
0.000 5.464 0.000
2.732 2.732 8.278
Ba Se N
4 2 1
direct
0.830 0.830 0.340
0.170 0.170 0.660
0.000 0.500 0.000
0.500 0.000 0.000
0.633 0.633 0.734
0.367 0.367 0.266
0.000 0.000 0.000
```


Density of states at the Fermi level list, top to bottom, in states/eV/f.u.: 10.0, 1.7
Energy relative to the elements, uncorrected list, top to bottom, in eV/atom: -0.7594, -1.1639